(1)
{"formula": "Tm4ThCd3", "functional": "PBE-GGA", "state": "optimized geometry", "formation_energy_mev_per_atom": -235, "n_ef_per_ev_fu": 7.03, "space_group": "P4/mmm", "e_tot_ev_per_atom": -3.74, "lattice": [[3.640, 0.000, 0.000], [0.000, 3.640, 0.000], [0.000, 0.000, 16.111]], "species": ["Tm", "Tm", "Tm", "Tm", "Th", "Cd", "Cd", "Cd"], "fractional_positions": [[0.000, 0.000, 0.115], [0.000, 0.000, 0.355], [0.000, 0.000, 0.645], [0.000, 0.000, 0.885], [0.500, 0.500, 0.500], [0.500, 0.500, 0.000], [0.500, 0.500, 0.235], [0.500, 0.500, 0.765]]}

(2)
{"formula": "Li2Ho2Zn15", "functional": "PBE-GGA", "state": "optimized geometry", "formation_energy_mev_per_atom": -249, "n_ef_per_ev_fu": 6.60, "space_group": "R-3m", "e_tot_ev_per_atom": -1.94, "lattice": [[4.502, 2.599, 4.349], [-4.502, 2.599, 4.349], [0.000, -5.198, 4.349]], "species": ["Li", "Li", "Ho", "Ho", "Zn", "Zn", "Zn", "Zn", "Zn", "Zn", "Zn", "Zn", "Zn", "Zn", "Zn", "Zn", "Zn", "Zn", "Zn"], "fractional_positions": [[0.098, 0.098, 0.098], [0.902, 0.902, 0.902], [0.340, 0.340, 0.340], [0.660, 0.660, 0.660], [0.000, 0.000, 0.500], [0.000, 0.298, 0.702], [0.000, 0.500, 0.000], [0.000, 0.702, 0.298], [0.160, 0.649, 0.649], [0.298, 0.000, 0.702], [0.298, 0.702, 0.000], [0.351, 0.351, 0.840], [0.351, 0.840, 0.351], [0.500, 0.000, 0.000], [0.649, 0.160, 0.649], [0.649, 0.649, 0.160], [0.702, 0.000, 0.298], [0.702, 0.298, 0.000], [0.840, 0.351, 0.351]]}

(3)
{"formula": "NaLi3Th2Te6", "functional": "PBE-GGA", "state": "optimized geometry", "raw_formation_energy_ev_per_atom": -1.0838, "space_group": "C2/m", "e_tot_ev_per_atom": -4.48, "lattice": [[9.495, -2.242, 0.000], [9.495, 2.242, 0.000], [-1.912, 0.000, 8.631]], "species": ["Na", "Li", "Li", "Li", "Th", "Th", "Te", "Te", "Te", "Te", "Te", "Te"], "fractional_positions": [[0.000, 0.000, 0.000], [0.000, 0.000, 0.500], [0.338, 0.338, 0.163], [0.662, 0.662, 0.837], [0.345, 0.345, 0.678], [0.655, 0.655, 0.322], [0.169, 0.169, 0.582], [0.175, 0.175, 0.087], [0.495, 0.495, 0.263], [0.505, 0.505, 0.737], [0.825, 0.825, 0.913], [0.831, 0.831, 0.418]]}

(4)
{"formula": "BeCrCu3", "functional": "PBE-GGA", "state": "optimized geometry", "formation_energy_mev_per_atom": 733, "n_ef_per_ev_fu": 3.35, "space_group": "Pm-3m", "e_tot_ev_per_atom": -4.39, "lattice": [[3.934, 0.000, 0.000], [0.000, 3.934, 0.000], [0.000, 0.000, 3.934]], "species": ["Be", "Cr", "Cu", "Cu", "Cu"], "fractional_positions": [[0.000, 0.000, 0.000], [0.500, 0.500, 0.500], [0.000, 0.000, 0.500], [0.000, 0.500, 0.000], [0.500, 0.000, 0.000]]}

(5)
{"formula": "V2P3W", "functional": "PBE-GGA", "state": "optimized geometry", "formation_energy_mev_per_atom": -630, "n_ef_per_ev_fu": 3.40, "space_group": "Pmc2_1", "e_tot_ev_per_atom": -8.53, "lattice": [[3.202, 0.000, 0.000], [0.000, 9.317, 0.000], [0.000, 0.000, 5.555]], "species": ["V", "V", "V", "V", "P", "P", "P", "P", "P", "P", "W", "W"], "fractional_positions": [[0.000, 0.038, 0.000], [0.000, 0.962, 0.500], [0.500, 0.280, 0.989], [0.500, 0.720, 0.489], [0.000, 0.209, 0.682], [0.000, 0.433, 0.164], [0.000, 0.567, 0.664], [0.000, 0.791, 0.182], [0.500, 0.119, 0.305], [0.500, 0.881, 0.805], [0.500, 0.390, 0.500], [0.500, 0.610, 0.000]]}

(6)
{"formula": "YCdRu", "functional": "PBE-GGA", "state": "optimized geometry", "formation_energy_mev_per_atom": -177, "n_ef_per_ev_fu": 3.17, "space_group": "C2/m", "e_tot_ev_per_atom": -5.73, "lattice": [[6.368, -2.145, 0.000], [6.368, 2.145, 0.000], [-1.082, 0.000, 5.045]], "species": ["Y", "Y", "Cd", "Cd", "Ru", "Ru"], "fractional_positions": [[0.132, 0.132, 0.333], [0.868, 0.868, 0.667], [0.429, 0.429, 0.223], [0.571, 0.571, 0.777], [0.224, 0.224, 0.891], [0.776, 0.776, 0.109]]}

(7)
{"formula": "BiAuI2", "functional": "PBE-GGA", "state": "optimized geometry", "raw_formation_energy_ev_per_atom": 0.2183, "n_ef_per_ev_fu": 1.21, "space_group": "I-42d", "e_tot_ev_per_atom": -2.35, "lattice": [[-4.142, 4.142, 3.833], [4.142, -4.142, 3.833], [4.142, 4.142, -3.833]], "species": ["Bi", "Bi", "Au", "Au", "I", "I", "I", "I"], "fractional_positions": [[0.000, 0.000, 0.000], [0.750, 0.250, 0.500], [0.250, 0.750, 0.500], [0.500, 0.500, 0.000], [0.149, 0.625, 0.024], [0.375, 0.399, 0.524], [0.601, 0.125, 0.976], [0.875, 0.851, 0.476]]}

(8)
{"formula": "TbPu3Th2As6", "functional": "PBE-GGA", "state": "optimized geometry", "formation_energy_mev_per_atom": -1246, "n_ef_per_ev_fu": 37.56, "space_group": "C2/m", "e_tot_ev_per_atom": -8.78, "lattice": [[9.117, -2.101, 0.000], [9.117, 2.101, 0.000], [-1.868, 0.000, 8.134]], "species": ["Tb", "Pu", "Pu", "Pu", "Th", "Th", "As", "As", "As", "As", "As", "As"], "fractional_positions": [[0.000, 0.000, 0.000], [0.000, 0.000, 0.500], [0.333, 0.333, 0.166], [0.667, 0.667, 0.834], [0.335, 0.335, 0.670], [0.665, 0.665, 0.330], [0.166, 0.166, 0.077], [0.166, 0.166, 0.587], [0.498, 0.498, 0.250], [0.502, 0.502, 0.750], [0.834, 0.834, 0.413], [0.834, 0.834, 0.923]]}

(9)
{"formula": "YCu4", "functional": "PBE-GGA", "state": "optimized geometry", "formation_energy_mev_per_atom": 1443, "n_ef_per_ev_fu": 1.85, "space_group": "Pm-3m", "e_tot_ev_per_atom": -3.13, "lattice": [[5.041, 0.000, 0.000], [0.000, 5.041, 0.000], [0.000, 0.000, 5.041]], "species": ["Y", "Cu", "Cu", "Cu", "Cu"], "fractional_positions": [[0.000, 0.000, 0.000], [0.000, 0.000, 0.500], [0.000, 0.500, 0.000], [0.500, 0.000, 0.000], [0.500, 0.500, 0.500]]}

(10)
{"formula": "KRbOs2Rh", "functional": "PBE-GGA", "state": "optimized geometry", "formation_energy_mev_per_atom": 3310, "n_ef_per_ev_fu": 6.42, "space_group": "P4/mmm", "e_tot_ev_per_atom": -3.07, "lattice": [[4.933, 0.000, 0.000], [0.000, 4.933, 0.000], [0.000, 0.000, 5.260]], "species": ["K", "Rb", "Os", "Os", "Rh"], "fractional_positions": [[0.000, 0.000, 0.000], [0.000, 0.000, 0.500], [0.000, 0.500, 0.500], [0.500, 0.000, 0.500], [0.500, 0.500, 0.000]]}

(11)
{"formula": "NdZn2PdAu2", "functional": "PBE-GGA", "state": "optimized geometry", "formation_energy_mev_per_atom": -334, "n_ef_per_ev_fu": 2.35, "space_group": "P4/mmm", "e_tot_ev_per_atom": -3.51, "lattice": [[4.813, 0.000, 0.000], [0.000, 4.813, 0.000], [0.000, 0.000, 5.520]], "species": ["Nd", "Zn", "Zn", "Pd", "Au", "Au"], "fractional_positions": [[0.000, 0.000, 0.000], [0.000, 0.500, 0.500], [0.500, 0.000, 0.500], [0.000, 0.000, 0.500], [0.500, 0.500, 0.243], [0.500, 0.500, 0.757]]}

(12)
{"formula": "Ir2PbCl", "functional": "PBE-GGA", "state": "optimized geometry", "raw_formation_energy_ev_per_atom": 0.1981, "n_ef_per_ev_fu": 3.72, "space_group": "Pm", "e_tot_ev_per_atom": -5.62, "lattice": [[2.943, 0.000, 0.000], [0.000, 3.554, 0.000], [-1.324, 0.000, 8.185]], "species": ["Ir", "Ir", "Pb", "Cl"], "fractional_positions": [[0.000, 0.000, 0.000], [0.429, 0.500, 0.843], [0.609, 0.500, 0.242], [0.336, 0.000, 0.638]]}